First-principles (PBE+U) data for a relaxed structure of Ca3Ga2Fe2O10, as listed in the Alexandria database.

Results
VASP energy: -6.2598 eV/atom
SG: Pc (7)
DOS(E_F): 11.08 states/eV per cell

Unit cell a=5.4206 b=5.7630 c=15.0169 alpha=69.10 beta=90.00 gamma=90.00
Closest atoms and distances in Å follow each position.
Sites, in units of the cell vectors:
Ca  0.7250  0.0704  0.8853  5 O 2.23-2.48
Ca  0.7631  0.9348  0.1121  6 O 2.25-2.51
Ca  0.7701  0.6237  0.4050  7 O 2.37-2.58
Ca  0.2369  0.9348  0.6121  6 O 2.25-2.51
Ca  0.2299  0.6237  0.9050  7 O 2.37-2.58
Ca  0.2750  0.0704  0.3853  5 O 2.23-2.48
Ga  0.8152  0.3322  0.2478  4 O 1.82-1.90
Ga  0.1848  0.3322  0.7478  4 O 1.82-1.90
Ga  0.3074  0.6548  0.2465  4 O 1.83-1.91
Ga  0.6926  0.6548  0.7465  4 O 1.83-1.91
Fe  0.7368  0.4990  0.0066  5 O 1.89-2.07
Fe  0.7557  0.0094  0.5035  6 O 1.91-2.11
Fe  0.2632  0.4990  0.5066  5 O 1.89-2.07
Fe  0.2443  0.0094  0.0035  6 O 1.91-2.11
O  0.8474  0.3691  0.7515  2 Ga 1.83-1.84
O  0.0221  0.7489  0.5132  2 Fe 1.97-2.05
O  0.9779  0.7489  0.0132  2 Fe 1.97-2.05
O  0.7233  0.2953  0.1369  1 Ga 1.82, 1 Fe 1.89
O  0.4948  0.7621  0.0149  2 Fe 1.93-2.04
O  0.4996  0.2735  0.9779  2 Fe 1.98-1.99
O  0.5052  0.7621  0.5149  2 Fe 1.93-2.04
O  0.2706  0.0624  0.8573  1 Ga 1.87
O  0.3423  0.6217  0.7529  2 Ga 1.90-1.91
O  0.1526  0.3691  0.2515  2 Ga 1.83-1.84
O  0.5004  0.2735  0.4779  2 Fe 1.98-1.99
O  0.7678  0.6987  0.8620  1 Ga 1.89, 1 Fe 2.07
O  0.7294  0.0624  0.3573  1 Ga 1.87
O  0.6577  0.6217  0.2529  2 Ga 1.90-1.91
O  0.0109  0.2520  0.4785  2 Fe 1.91-2.12
O  0.2767  0.2953  0.6369  1 Ga 1.82, 1 Fe 1.89
O  0.2189  0.9271  0.1402  1 Ga 1.86, 1 Fe 1.94
O  0.9891  0.2520  0.9785  2 Fe 1.91-2.12
O  0.7811  0.9271  0.6402  1 Ga 1.86, 1 Fe 1.94
O  0.2322  0.6987  0.3620  1 Ga 1.89, 1 Fe 2.07